NaPa2Cu2S6 | GGA-PBE | relaxed

D(E_F), states/eV per cell: 6.80
E_form (uncorrected), eV/atom: -1.1818

Geometry as CIF:
```
data_NaPa2Cu2S6
_cell_length_a 6.980
_cell_length_b 7.128
_cell_length_c 7.236
_cell_angle_alpha 62.50
_cell_angle_beta 62.14
_cell_angle_gamma 61.03
_space_group_name_H-M_alt 'P -1'
_space_group_IT_number 2
loop_
_space_group_symop_operation_xyz
'x,y,z'
'-x,-y,-z'
loop_
_atom_site_label
_atom_site_fract_x
_atom_site_fract_y
_atom_site_fract_z
_atom_site_occupancy
Na1 0.000 0.000 0.000 1
Pa1 0.326 0.329 0.015 1
Cu1 0.462 0.685 0.565 1
S1 0.093 0.708 0.763 1
S2 0.291 0.564 0.240 1
S3 0.431 0.078 0.766 1
```